{
  "formula": "KCuBiCl5",
  "functional": "GGA-PBE",
  "state": "optimized geometry",
  "lattice_angstrom": [[7.4435, -0.0521, -0.0742], [-2.2227, 7.1040, -0.0742], [-2.2519, -3.0418, 9.3426]],
  "species": ["Cl", "Cl", "Cl", "Cl", "Cl", "Cu", "Cl", "Cl", "Cu", "K", "Cl", "Bi", "Cl", "K", "Cl", "Bi"],
  "fractional_positions": [[0.9090, 0.3183, 0.1194], [0.6817, 0.0910, 0.3806], [0.6091, 0.7470, 0.9254], [0.3909, 0.2530, 0.0746], [0.9089, 0.0911, 0.7500], [0.3107, 0.6893, 0.7500], [0.3183, 0.9090, 0.6194], [0.2530, 0.3909, 0.5746], [0.6893, 0.3107, 0.2500], [0.3546, 0.6454, 0.2500], [0.0910, 0.6817, 0.8806], [0.0000, 0.0000, 0.0000], [0.0911, 0.9089, 0.2500], [0.6454, 0.3546, 0.7500], [0.7470, 0.6091, 0.4254], [0.0000, 0.0000, 0.5000]],
  "e_form_raw_ev_per_atom": -1.109,
  "dft_energy_ev_per_atom": -3.398,
  "magmom_total_mub_per_cell": 0.265
}